A plane-wave DFT calculation with PBEsol was carried out for KTc2Ni after structural relaxation.

Computed properties:
D(E_F) = 3.52 states/eV/cell
E_tot = -6.00 eV/atom
formation energy = 5.83 eV per formula unit
SG = P4/mmm (123)

Lattice parameters (Å, degrees): 3.603 3.603 4.946 90.00 90.00 90.00
Fractional positions:
K (0.000, 0.000, 0.000)
Tc (0.000, 0.500, 0.500)
Tc (0.500, 0.000, 0.500)
Ni (0.500, 0.500, 0.000)

A plane-wave DFT calculation with PBEsol was carried out for KTcNi2 after structural relaxation.

Computed properties:
D(E_F) = 5.74 states/eV/cell
E_tot = -5.23 eV/atom
formation energy = 3.79 eV per formula unit
SG = P4/mmm (123)

Lattice parameters (Å, degrees): 4.793 4.793 2.553 90.00 90.00 90.00
Fractional positions:
K (0.000, 0.000, 0.000)
Tc (0.500, 0.500, 0.000)
Ni (0.000, 0.500, 0.500)
Ni (0.500, 0.000, 0.500)

A plane-wave DFT calculation with PBEsol was carried out for KTcNi2 after structural relaxation.

Computed properties:
D(E_F) = 5.61 states/eV/cell
E_tot = -4.80 eV/atom
formation energy = 5.53 eV per formula unit
SG = Pmmm (47)

Lattice parameters (Å, degrees): 2.555 4.656 5.049 90.00 90.00 90.00
Fractional positions:
K (0.000, 0.000, 0.000)
Tc (0.500, 0.000, 0.500)
Ni (0.000, 0.500, 0.500)
Ni (0.500, 0.500, 0.000)

A plane-wave DFT calculation with PBEsol was carried out for KTcNi2 after structural relaxation.

Computed properties:
D(E_F) = 9.91 states/eV/cell
E_tot = -5.43 eV/atom
formation energy = 3.00 eV per formula unit
SG = Cm (8)

Lattice parameters (Å, degrees): 8.311 2.598 6.668 90.00 94.83 90.00
Fractional positions:
K (0.000, 0.000, 0.000)
K (0.500, 0.500, 0.000)
Tc (0.279, 0.500, 0.391)
Tc (0.779, 0.000, 0.391)
Ni (0.014, 0.500, 0.509)
Ni (0.233, 0.000, 0.680)
Ni (0.514, 0.000, 0.509)
Ni (0.733, 0.500, 0.680)

A plane-wave DFT calculation with PBEsol was carried out for KNi2Te after structural relaxation.

Computed properties:
D(E_F) = 35.23 states/eV/cell
E_tot = -3.56 eV/atom
SG = F-43m (216)
uncorrected formation energy = 0.69 eV per atom

Lattice parameters (Å, degrees): 6.655 6.655 6.655 90.00 90.00 90.00
Fractional positions:
K (0.000, 0.000, 0.000)
K (0.000, 0.500, 0.500)
K (0.500, 0.000, 0.500)
K (0.500, 0.500, 0.000)
Ni (0.000, 0.000, 0.500)
Ni (0.000, 0.500, 0.000)
Ni (0.250, 0.250, 0.250)
Ni (0.250, 0.750, 0.750)
Ni (0.500, 0.000, 0.000)
Ni (0.500, 0.500, 0.500)
Ni (0.750, 0.250, 0.750)
Ni (0.750, 0.750, 0.250)
Te (0.250, 0.250, 0.750)
Te (0.250, 0.750, 0.250)
Te (0.750, 0.250, 0.250)
Te (0.750, 0.750, 0.750)

A plane-wave DFT calculation with PBEsol was carried out for KNi3Te after structural relaxation.

Computed properties:
D(E_F) = 8.43 states/eV/cell
E_tot = -4.06 eV/atom
SG = Pm-3m (221)
uncorrected formation energy = 0.56 eV per atom

Lattice parameters (Å, degrees): 4.726 4.726 4.726 90.00 90.00 90.00
Fractional positions:
K (0.000, 0.000, 0.000)
Ni (0.000, 0.500, 0.500)
Ni (0.500, 0.000, 0.500)
Ni (0.500, 0.500, 0.000)
Te (0.500, 0.500, 0.500)

A plane-wave DFT calculation with PBEsol was carried out for KNi2Te after structural relaxation.

Computed properties:
D(E_F) = 4.43 states/eV/cell
E_tot = -4.15 eV/atom
SG = Pm (6)
uncorrected formation energy = 0.10 eV per atom

Lattice parameters (Å, degrees): 4.641 4.000 5.436 90.00 102.81 90.00
Fractional positions:
K (0.000, 0.000, 0.000)
Ni (0.578, 0.000, 0.449)
Ni (0.840, 0.500, 0.453)
Te (0.364, 0.500, 0.592)

A plane-wave DFT calculation with PBEsol was carried out for KTi2TlNi after structural relaxation.

Computed properties:
D(E_F) = 11.42 states/eV/cell
E_tot = -3.64 eV/atom
formation energy = 8.38 eV per formula unit
SG = P4/mmm (123)

Lattice parameters (Å, degrees): 5.157 5.157 5.884 90.00 90.00 90.00
Fractional positions:
K (0.000, 0.000, 0.000)
Ti (0.000, 0.500, 0.500)
Ti (0.500, 0.000, 0.500)
Tl (0.000, 0.000, 0.500)
Ni (0.500, 0.500, 0.000)

- The highest E_tot belongs to which entry?
  number 5

Copy entry 7 word for word.
A plane-wave DFT calculation with PBEsol was carried out for KNi2Te after structural relaxation.

Computed properties:
D(E_F) = 4.43 states/eV/cell
E_tot = -4.15 eV/atom
SG = Pm (6)
uncorrected formation energy = 0.10 eV per atom

Lattice parameters (Å, degrees): 4.641 4.000 5.436 90.00 102.81 90.00
Fractional positions:
K (0.000, 0.000, 0.000)
Ni (0.578, 0.000, 0.449)
Ni (0.840, 0.500, 0.453)
Te (0.364, 0.500, 0.592)